VASP calculation (GGA-PBE) on a relaxed K2Na2Hg15 crystal.

The structure in extended XYZ format:
```
19
Lattice="-7.283 -3.462 2.671 2.277 -5.747 5.827 -1.594 3.678 7.490" Properties=species:S:1:pos:R:3 pbc="T T T"
Hg -0.544 -5.073 4.896
Na -5.966 -5.000 14.452
Hg -5.942 -3.732 7.323
K -2.175 -1.823 5.268
Hg 1.135 -2.966 6.317
Hg -4.463 -4.136 3.602
Hg -3.642 -1.731 1.335
Hg -5.173 -0.720 7.174
Hg -0.658 -1.799 8.664
Hg -0.452 0.897 6.999
Hg -0.797 1.839 3.745
Hg -3.272 1.571 6.068
K -4.425 -3.709 10.720
Hg -3.255 -0.361 9.599
Hg 1.138 -2.874 2.913
Hg -3.345 -5.171 6.389
Hg -1.427 -4.811 8.813
Na -0.634 -0.531 1.535
Hg -5.605 -1.356 4.093
```

Calculated values
DFT formation energy = -158.3 meV/atom
uncorrected energy = -0.6510 eV/atom
crystal system = trigonal